A relaxed Pr4ThH10 crystal. Source: Alexandria, functional PBE-GGA.

Unit cell a=16.1296 b=16.1296 c=16.1296 alpha=13.87 beta=13.87 gamma=13.87
With the nearest neighbours (Å) after each atom.
Sites, in units of the cell vectors:
Pr (0.0999, 0.0999, 0.0999)  8 H 2.37-2.45
Pr (0.2999, 0.2999, 0.2999)  8 H 2.39-2.40
Pr (0.7001, 0.7001, 0.7001)  8 H 2.39-2.40
Pr (0.9001, 0.9001, 0.9001)  8 H 2.37-2.45
Th (0.5000, 0.5000, 0.5000)  8 H 2.35-2.37
H (0.0504, 0.0504, 0.0504)  4 Pr 2.37-2.39
H (0.1510, 0.1510, 0.1510)  3 Th 2.37, 1 Pr 2.45
H (0.2500, 0.2500, 0.2500)  4 Pr 2.38-2.39
H (0.3499, 0.3499, 0.3499)  4 Pr 2.39-2.40
H (0.4511, 0.4511, 0.4511)  1 Th 2.35, 3 Pr 2.41
H (0.5489, 0.5489, 0.5489)  1 Th 2.35, 3 Pr 2.41
H (0.6501, 0.6501, 0.6501)  4 Pr 2.39-2.40
H (0.7500, 0.7500, 0.7500)  4 Pr 2.38-2.39
H (0.8490, 0.8490, 0.8490)  3 Th 2.37, 1 Pr 2.45
H (0.9496, 0.9496, 0.9496)  4 Pr 2.37-2.39

Calculated values
M_tot = 0.0 Bohr magnetons per cell
Total energy = -4.617 eV/atom

---

A relaxed YCd5 crystal. Source: Alexandria, functional PBE-GGA.

Unit cell a=5.8777 b=5.8777 c=5.8777 alpha=60.00 beta=60.00 gamma=60.00
With the nearest neighbours (Å) after each atom.
Sites, in units of the cell vectors:
Y (0.0000, 0.0000, 0.0000)  16 Cd 3.45-3.60
Cd (0.1240, 0.6253, 0.6253)  6 Cd 2.93-2.95
Cd (0.2500, 0.2500, 0.2500)  12 Cd 3.45, 4 Y 3.60
Cd (0.6253, 0.1240, 0.6253)  6 Cd 2.93-2.95
Cd (0.6253, 0.6253, 0.1240)  6 Cd 2.93-2.95
Cd (0.6253, 0.6253, 0.6253)  6 Cd 2.93-2.95

Calculated values
M_tot = 0.0 Bohr magnetons per cell
Formation energy = -0.09 eV per atom

---

A relaxed Rb12Tl3Cd5 crystal. Source: Alexandria, functional PBE-GGA.

Unit cell a=19.1000 b=19.1000 c=19.1000 alpha=109.47 beta=109.47 gamma=109.47
With the nearest neighbours (Å) after each atom.
Sites, in units of the cell vectors:
Rb (0.0552, 0.2269, 0.1308)  2 Cd 3.58-3.76, 1 Tl 3.92
Rb (0.0552, 0.3282, 0.9243)  2 Cd 3.58-3.76, 1 Tl 3.92
Rb (0.0757, 0.6308, 0.4039)  2 Cd 3.58-3.76, 1 Tl 3.92
Rb (0.0757, 0.9448, 0.6718)  2 Cd 3.58-3.76, 1 Tl 3.92
Rb (0.0961, 0.7269, 0.6718)  2 Cd 3.58-3.76, 1 Tl 3.92
Rb (0.0961, 0.8692, 0.4243)  2 Cd 3.58-3.76, 1 Tl 3.92
Rb (0.1308, 0.0552, 0.2269)  2 Cd 3.58-3.76, 1 Tl 3.92
Rb (0.1308, 0.5757, 0.9039)  2 Cd 3.58-3.76, 1 Tl 3.92
Rb (0.1718, 0.2269, 0.5961)  2 Cd 3.58-3.76, 1 Tl 3.92
Rb (0.1718, 0.4448, 0.5757)  2 Cd 3.58-3.76, 1 Tl 3.92
Rb (0.2269, 0.1308, 0.0552)  2 Cd 3.58-3.76, 1 Tl 3.92
Rb (0.2269, 0.5961, 0.1718)  2 Cd 3.58-3.76, 1 Tl 3.92
Rb (0.2731, 0.3282, 0.9039)  2 Cd 3.58-3.76, 1 Tl 3.92
Rb (0.2731, 0.4448, 0.3692)  2 Cd 3.58-3.76, 1 Tl 3.92
Rb (0.3282, 0.9039, 0.2731)  2 Cd 3.58-3.76, 1 Tl 3.92
Rb (0.3282, 0.9243, 0.0552)  2 Cd 3.58-3.76, 1 Tl 3.92
Rb (0.3692, 0.2731, 0.4448)  2 Cd 3.58-3.76, 1 Tl 3.92
Rb (0.3692, 0.5961, 0.9243)  2 Cd 3.58-3.76, 1 Tl 3.92
Rb (0.4039, 0.0757, 0.6308)  2 Cd 3.58-3.76, 1 Tl 3.92
Rb (0.4039, 0.8282, 0.7731)  2 Cd 3.58-3.76, 1 Tl 3.92
Rb (0.4243, 0.0961, 0.8692)  2 Cd 3.58-3.76, 1 Tl 3.92
Rb (0.4243, 0.8282, 0.5552)  2 Cd 3.58-3.76, 1 Tl 3.92
Rb (0.4448, 0.3692, 0.2731)  2 Cd 3.58-3.76, 1 Tl 3.92
Rb (0.4448, 0.5757, 0.1718)  2 Cd 3.58-3.76, 1 Tl 3.92
Rb (0.5552, 0.4243, 0.8282)  2 Cd 3.58-3.76, 1 Tl 3.92
Rb (0.5552, 0.6308, 0.7269)  2 Cd 3.58-3.76, 1 Tl 3.92
Rb (0.5757, 0.1718, 0.4448)  2 Cd 3.58-3.76, 1 Tl 3.92
Rb (0.5757, 0.9039, 0.1308)  2 Cd 3.58-3.76, 1 Tl 3.92
Rb (0.5961, 0.1718, 0.2269)  2 Cd 3.58-3.76, 1 Tl 3.92
Rb (0.5961, 0.9243, 0.3692)  2 Cd 3.58-3.76, 1 Tl 3.92
Rb (0.6308, 0.4039, 0.0757)  2 Cd 3.58-3.76, 1 Tl 3.92
Rb (0.6308, 0.7269, 0.5552)  2 Cd 3.58-3.76, 1 Tl 3.92
Rb (0.6718, 0.0757, 0.9448)  2 Cd 3.58-3.76, 1 Tl 3.92
Rb (0.6718, 0.0961, 0.7269)  2 Cd 3.58-3.76, 1 Tl 3.92
Rb (0.7269, 0.5552, 0.6308)  2 Cd 3.58-3.76, 1 Tl 3.92
Rb (0.7269, 0.6718, 0.0961)  2 Cd 3.58-3.76, 1 Tl 3.92
Rb (0.7731, 0.4039, 0.8282)  2 Cd 3.58-3.76, 1 Tl 3.92
Rb (0.7731, 0.8692, 0.9448)  2 Cd 3.58-3.76, 1 Tl 3.92
Rb (0.8282, 0.5552, 0.4243)  2 Cd 3.58-3.76, 1 Tl 3.92
Rb (0.8282, 0.7731, 0.4039)  2 Cd 3.58-3.76, 1 Tl 3.92
Rb (0.8692, 0.4243, 0.0961)  2 Cd 3.58-3.76, 1 Tl 3.92
Rb (0.8692, 0.9448, 0.7731)  2 Cd 3.58-3.76, 1 Tl 3.92
Rb (0.9039, 0.1308, 0.5757)  2 Cd 3.58-3.76, 1 Tl 3.92
Rb (0.9039, 0.2731, 0.3282)  2 Cd 3.58-3.76, 1 Tl 3.92
Rb (0.9243, 0.0552, 0.3282)  2 Cd 3.58-3.76, 1 Tl 3.92
Rb (0.9243, 0.3692, 0.5961)  2 Cd 3.58-3.76, 1 Tl 3.92
Rb (0.9448, 0.6718, 0.0757)  2 Cd 3.58-3.76, 1 Tl 3.92
Rb (0.9448, 0.7731, 0.8692)  2 Cd 3.58-3.76, 1 Tl 3.92
Tl (0.1250, 0.2500, 0.3750)  8 Rb 3.92-4.22
Tl (0.1250, 0.3750, 0.7500)  8 Rb 3.92-4.22
Tl (0.2500, 0.3750, 0.1250)  8 Rb 3.92-4.22
Tl (0.2500, 0.8750, 0.6250)  8 Rb 3.92-4.22
Tl (0.3750, 0.1250, 0.2500)  8 Rb 3.92-4.22
Tl (0.3750, 0.7500, 0.1250)  8 Rb 3.92-4.22
Tl (0.6250, 0.2500, 0.8750)  8 Rb 3.92-4.22
Tl (0.6250, 0.8750, 0.7500)  8 Rb 3.92-4.22
Tl (0.7500, 0.1250, 0.3750)  8 Rb 3.92-4.22
Tl (0.7500, 0.6250, 0.8750)  8 Rb 3.92-4.22
Tl (0.8750, 0.6250, 0.2500)  8 Rb 3.92-4.22
Tl (0.8750, 0.7500, 0.6250)  8 Rb 3.92-4.22
Cd (0.0000, 0.0000, 0.0000)  6 Rb 3.76
Cd (0.0000, 0.0000, 0.5000)  6 Rb 3.76
Cd (0.0000, 0.5000, 0.0000)  6 Rb 3.76
Cd (0.0000, 0.5000, 0.5000)  6 Rb 3.76
Cd (0.1250, 0.7500, 0.8750)  4 Rb 3.58
Cd (0.1250, 0.8750, 0.2500)  4 Rb 3.58
Cd (0.2500, 0.1250, 0.8750)  4 Rb 3.58
Cd (0.2500, 0.6250, 0.3750)  4 Rb 3.58
Cd (0.3750, 0.2500, 0.6250)  4 Rb 3.58
Cd (0.3750, 0.6250, 0.7500)  4 Rb 3.58
Cd (0.5000, 0.0000, 0.0000)  6 Rb 3.76
Cd (0.5000, 0.0000, 0.5000)  6 Rb 3.76
Cd (0.5000, 0.5000, 0.0000)  6 Rb 3.76
Cd (0.5000, 0.5000, 0.5000)  6 Rb 3.76
Cd (0.6250, 0.3750, 0.2500)  4 Rb 3.58
Cd (0.6250, 0.7500, 0.3750)  4 Rb 3.58
Cd (0.7500, 0.3750, 0.6250)  4 Rb 3.58
Cd (0.7500, 0.8750, 0.1250)  4 Rb 3.58
Cd (0.8750, 0.1250, 0.7500)  4 Rb 3.58
Cd (0.8750, 0.2500, 0.1250)  4 Rb 3.58

Calculated values
M_tot = 0.0 Bohr magnetons per cell
Formation energy = 0.15 eV per atom